(1)
LaCr2Os after structural relaxation. Source: Alexandria via LeMat-Bulk, functional PBE.

Cell and atoms, written as POSCAR:
```
LaCr2Os
1.0
9.5600 -0.0869 -0.0509
9.1258 2.8497 -0.0509
9.1258 1.3493 2.5105
Cr La Os
2 1 1
Direct
0.4851 0.4851 0.4851 Cr
0.0149 0.0149 0.0149 Cr
0.2500 0.2500 0.2500 La
0.7500 0.7500 0.7500 Os
```

V   71.8 Å³/cell
Crystal system   trigonal
Formation energy from the elements   3.28 eV per formula unit



(2)
LaCr2Os after structural relaxation. Source: Alexandria via LeMat-Bulk, functional PBE.

Cell and atoms, written as POSCAR:
```
LaCr2Os
1.0
-2.8160 1.1251 -0.0727
-1.1128 -2.7419 0.6670
0.4580 1.6279 7.4566
Os Cr La
1 2 1
Direct
0.5000 0.5000 0.7500 Os
0.0000 0.0000 0.9401 Cr
0.0000 0.0000 0.5599 Cr
0.5000 0.5000 0.2500 La
```

V   70.4 Å³/cell
Crystal system   tetragonal
Formation energy from the elements   1.67 eV per formula unit



(3)
LaCrOs2 after structural relaxation. Source: Alexandria via LeMat-Bulk, functional PBE.

Cell and atoms, written as POSCAR:
```
LaCrOs2
1.0
-0.2415 -5.4141 -2.0731
4.2050 -2.0289 -3.4453
-1.7200 2.1062 5.1258
Os La Cr
2 1 1
Direct
0.9696 0.9696 0.0000 Os
0.7564 0.2564 0.5000 Os
0.2450 0.7450 0.5000 La
0.5290 0.5290 0.0000 Cr
```

V   74.2 Å³/cell
Crystal system   orthorhombic
Formation energy from the elements   2.30 eV per formula unit



(4)
LaCrOs2 after structural relaxation. Source: Alexandria via LeMat-Bulk, functional PBE.

Cell and atoms, written as POSCAR:
```
LaCrOs2
1.0
2.8526 -0.0084 0.0000
-1.1342 2.6174 0.0000
0.0000 0.0000 9.0664
Os La Cr
2 1 1
Direct
0.0000 0.0000 0.4617 Os
0.0000 0.0000 0.0383 Os
0.5000 0.5000 0.7500 La
0.5000 0.5000 0.2500 Cr
```

V   67.6 Å³/cell
Crystal system   orthorhombic
Formation energy from the elements   2.31 eV per formula unit



(5)
LaCr2Os after structural relaxation. Source: Alexandria via LeMat-Bulk, functional PBE.

Cell and atoms, written as POSCAR:
```
LaCr2Os
1.0
-4.0022 2.1184 -1.5383
-3.3890 -0.2364 -3.3660
-4.2590 -2.9325 2.3494
La Cr Os
1 2 1
Direct
0.4936 0.4936 0.5058 La
0.2868 0.2868 0.1498 Cr
0.9975 0.9975 0.9967 Cr
0.7221 0.7221 0.8477 Os
```

V   75.2 Å³/cell
Crystal system   monoclinic
Formation energy from the elements   1.91 eV per formula unit



(6)
La2CrOs after structural relaxation. Source: Alexandria via LeMat-Bulk, functional PBE.

Cell and atoms, written as POSCAR:
```
La2CrOs
1.0
-5.8937 1.1814 -4.9821
2.8894 -5.5041 -4.7232
-3.1427 -4.2608 -3.4097
Os La Cr
2 4 2
Direct
0.7500 0.2500 0.5000 Os
0.0000 0.0000 0.0000 Os
0.8750 0.8889 0.7500 La
0.6389 0.1250 0.2500 La
0.3750 0.3611 0.7500 La
0.1111 0.6250 0.2500 La
0.2500 0.7500 0.5000 Cr
0.5000 0.5000 0.0000 Cr
```

V   184.7 Å³/cell
Crystal system   tetragonal
Formation energy from the elements   3.50 eV per formula unit



(7)
LaCr2Os after structural relaxation. Source: Alexandria via LeMat-Bulk, functional PBE.

Cell and atoms, written as POSCAR:
```
LaCr2Os
1.0
-4.2702 -1.1307 -3.5146
-1.3132 -5.3705 -1.1393
0.5300 4.1314 3.8100
Cr Os La
2 1 1
Direct
0.0184 0.0184 0.0000 Cr
0.7702 0.2702 0.5000 Cr
0.2226 0.7226 0.5000 Os
0.4889 0.4889 0.0000 La
```

V   71.4 Å³/cell
Crystal system   orthorhombic
Formation energy from the elements   2.40 eV per formula unit



(8)
LaCr2Os after structural relaxation. Source: Alexandria via LeMat-Bulk, functional PBE.

Cell and atoms, written as POSCAR:
```
LaCr2Os
1.0
-2.2243 5.1772 0.7883
-0.5201 1.6938 5.4068
3.5204 -1.6110 -4.1695
Cr Os La
2 1 1
Direct
0.0433 0.0433 0.0000 Cr
0.4567 0.4567 0.0000 Cr
0.2500 0.7500 0.5000 Os
0.7500 0.2500 0.5000 La
```

V   79.6 Å³/cell
Crystal system   orthorhombic
Formation energy from the elements   2.76 eV per formula unit



(9)
LaCrOs2 after structural relaxation. Source: Alexandria via LeMat-Bulk, functional PBE.

Cell and atoms, written as POSCAR:
```
LaCrOs2
1.0
-1.7291 9.0789 -2.9246
-4.2119 8.5760 -1.6378
-1.9864 9.4873 -0.1246
Os Cr La
2 1 1
Direct
0.9852 0.9852 0.9852 Os
0.5148 0.5148 0.5148 Os
0.2500 0.2500 0.2500 Cr
0.7500 0.7500 0.7500 La
```

V   66.8 Å³/cell
Crystal system   trigonal
Formation energy from the elements   2.28 eV per formula unit



(10)
LaCrOs after structural relaxation. Source: Alexandria via LeMat-Bulk, functional PBE.

Cell and atoms, written as POSCAR:
```
LaCrOs
1.0
-4.2831 -0.4069 -1.6375
-0.7096 -0.3084 -4.5379
-1.3895 -3.9811 -1.8471
La Cr Os
1 1 1
Direct
0.5000 0.5000 0.5000 La
0.0000 0.0000 0.0000 Cr
0.7500 0.7500 0.7500 Os
```

V   69.0 Å³/cell
Crystal system   cubic
Formation energy from the elements   1.77 eV per formula unit



(11)
LaCr2Os2 after structural relaxation. Source: Alexandria via LeMat-Bulk, functional PBE.

Cell and atoms, written as POSCAR:
```
LaCr2Os2
1.0
-3.2299 -2.4141 1.1394
2.6478 -3.1249 0.8847
0.1272 -1.0454 5.8506
Os Cr La
2 2 1
Direct
0.3694 0.3694 0.2612 Os
0.6306 0.6306 0.7388 Os
0.2500 0.7500 0.5000 Cr
0.7500 0.2500 0.5000 Cr
0.0000 0.0000 0.0000 La
```

V   90.5 Å³/cell
Crystal system   tetragonal
Formation energy from the elements   0.23 eV per formula unit



(12)
LaCr2Os after structural relaxation. Source: Alexandria via LeMat-Bulk, functional PBE.

Cell and atoms, written as POSCAR:
```
LaCr2Os
1.0
4.1230 0.0000 0.0000
0.0000 2.8832 0.0067
0.0000 1.2673 6.0266
Cr La Os
2 1 1
Direct
0.0000 0.0590 0.9081 Cr
0.0000 0.4410 0.5919 Cr
0.5000 0.2500 0.2500 La
0.5000 0.7500 0.7500 Os
```

V   71.6 Å³/cell
Crystal system   monoclinic
Formation energy from the elements   1.87 eV per formula unit



(13)
LaCrOs2 after structural relaxation. Source: Alexandria via LeMat-Bulk, functional PBE.

Cell and atoms, written as POSCAR:
```
LaCrOs2
1.0
5.4782 -0.0050 0.0686
-2.5421 4.8526 0.0686
0.6025 0.9948 2.6504
Cr Os La
1 2 1
Direct
0.5000 0.0000 0.5000 Cr
0.5000 0.5000 0.0000 Os
0.0000 0.0000 0.0000 Os
0.0000 0.5000 0.5000 La
```

V   69.7 Å³/cell
Crystal system   monoclinic
Formation energy from the elements   2.74 eV per formula unit



(14)
LaCrOs after structural relaxation. Source: Alexandria via LeMat-Bulk, functional PBE.

Cell and atoms, written as POSCAR:
```
LaCrOs
1.0
2.9198 0.0000 0.0000
-1.4599 2.5286 0.0000
0.0000 0.0000 7.4336
Os La Cr
1 1 1
Direct
0.3333 0.6667 0.7138 Os
0.6667 0.3333 0.3300 La
0.0000 0.0000 0.9562 Cr
```

V   54.9 Å³/cell
Crystal system   trigonal
Formation energy from the elements   2.24 eV per formula unit



(15)
LaCr2Os after structural relaxation. Source: Alexandria via LeMat-Bulk, functional PBE.

Cell and atoms, written as POSCAR:
```
LaCr2Os
1.0
4.6645 -0.0012 0.0000
0.0050 4.6645 0.0000
-2.3348 -2.3317 3.2970
Cr La Os
2 1 1
Direct
0.2500 0.7500 0.5000 Cr
0.0000 0.0000 0.0000 Cr
0.5000 0.5000 0.0000 La
0.7500 0.2500 0.5000 Os
```

V   71.7 Å³/cell
Crystal system   cubic
Formation energy from the elements   2.27 eV per formula unit



Total moment readings, ordered: 4.241 4.076 2.970 1.298 0.337 0.031 1.193 6.358 0.099 3.122 0.024 0.001 3.175 0.658 0.106 μB per formula unit